{
  "formula": "Cd2SiNi2",
  "functional": "GGA-PBE",
  "state": "optimized geometry",
  "total_magnetization_mub_per_atom": 0.000,
  "raw_formation_energy_kj_per_mol_fu": -47,
  "spacegroup": "No. 127",
  "cell": [[5.974, 0.000, 0.000], [0.000, 5.974, 0.000], [0.000, 0.000, 4.362]],
  "species": ["Cd", "Cd", "Cd", "Cd", "Si", "Si", "Ni", "Ni", "Ni", "Ni"],
  "frac_coords": [[0.167, 0.333, 0.000], [0.333, 0.833, 0.000], [0.667, 0.167, 0.000], [0.833, 0.667, 0.000], [0.000, 0.000, 0.500], [0.500, 0.500, 0.500], [0.150, 0.650, 0.500], [0.350, 0.150, 0.500], [0.650, 0.850, 0.500], [0.850, 0.350, 0.500]]
}